(1)
6
Lattice="0.000 4.051 4.051 4.051 0.000 4.051 4.051 4.051 0.000" Properties=species:S:1:pos:R:3 comment="GGA-PBE PrTeAu4, optimized geometry" mass_density_g_cm3=13.19 e_form_raw_ev_per_atom=-0.45 total_energy_ev_per_atom=-3.953 n_ef_per_ev_atom=0.663 pbc="T T T"
Pr 0.000 0.000 0.000
Te 6.077 6.077 6.077
Au 3.038 3.038 3.038
Au 5.065 5.065 3.038
Au 5.065 3.038 5.065
Au 3.038 5.065 5.065

(2)
4
Lattice="3.894 0.000 0.000 0.000 3.894 0.000 0.000 0.000 7.397" Properties=species:S:1:pos:R:3 comment="GGA-PBE Pr2TeAu, optimized geometry" mass_density_g_cm3=8.97 e_form_raw_ev_per_atom=-0.97 total_energy_ev_per_atom=-4.965 n_ef_per_ev_atom=1.011 pbc="T T T"
Pr 0.000 0.000 1.800
Pr 0.000 0.000 5.598
Te 1.947 1.947 3.699
Au 1.947 1.947 0.000

(3)
12
Lattice="3.911 -6.760 0.000 3.911 6.760 0.000 -2.609 0.000 7.366" Properties=species:S:1:pos:R:3 comment="GGA-PBE Pr6Te5Au, optimized geometry" mass_density_g_cm3=7.16 e_form_raw_ev_per_atom=-1.35 total_energy_ev_per_atom=-5.325 n_ef_per_ev_atom=0.414 pbc="T T T"
Pr -0.058 2.170 5.447
Pr 1.198 0.000 1.871
Pr -0.058 -2.170 5.447
Pr 5.270 2.170 1.919
Pr 4.015 0.000 5.495
Pr 5.270 -2.170 1.919
Te 3.911 4.411 0.000
Te 2.606 2.226 3.683
Te 3.911 0.000 0.000
Te 2.606 -2.226 3.683
Te 3.911 -4.411 0.000
Au -1.304 0.000 3.683

(4)
6
Lattice="-2.186 3.196 6.844 2.186 -3.196 6.844 2.186 3.196 -6.844" Properties=species:S:1:pos:R:3 comment="GGA-PBE Pr3Te2Au, optimized geometry" mass_density_g_cm3=7.60 e_form_raw_ev_per_atom=-1.20 total_energy_ev_per_atom=-5.182 n_ef_per_ev_atom=1.127 pbc="T T T"
Pr 0.000 0.000 0.000
Pr 0.000 0.000 4.698
Pr 0.000 0.000 8.990
Te 2.186 0.000 2.338
Te 0.000 3.196 4.506
Au 0.000 3.196 0.000

(5)
4
Lattice="2.161 1.247 7.850 -2.161 1.247 7.850 0.000 -2.495 7.850" Properties=species:S:1:pos:R:3 comment="GGA-PBE Pr2TeAu, optimized geometry" mass_density_g_cm3=7.93 e_form_raw_ev_per_atom=-1.02 total_energy_ev_per_atom=-5.018 n_ef_per_ev_atom=0.928 pbc="T T T"
Pr 0.000 0.000 0.000
Pr 0.000 0.000 4.266
Te 0.000 0.000 17.853
Au 0.000 0.000 13.885

(6)
12
Lattice="3.846 -6.673 0.000 3.846 6.673 0.000 -2.587 0.000 7.450" Properties=species:S:1:pos:R:3 comment="GGA-PBE Pr3Te2Au, optimized geometry" mass_density_g_cm3=7.60 e_form_raw_ev_per_atom=-1.21 total_energy_ev_per_atom=-5.192 n_ef_per_ev_atom=0.812 pbc="T T T"
Pr -0.064 2.288 5.662
Pr 1.194 0.000 1.754
Pr -0.064 -2.288 5.662
Pr 5.169 2.288 1.789
Pr 3.912 0.000 5.697
Pr 5.169 -2.288 1.789
Te -1.293 0.000 3.725
Te 2.553 2.131 3.725
Te 3.846 0.000 0.000
Te 2.553 -2.131 3.725
Au 3.846 4.422 0.000
Au 3.846 -4.422 0.000

(7)
8
Lattice="2.103 -12.112 0.000 2.103 12.112 0.000 0.000 0.000 4.738" Properties=species:S:1:pos:R:3 comment="GGA-PBE Pr2TeAu, optimized geometry" mass_density_g_cm3=8.34 e_form_raw_ev_per_atom=-1.08 total_energy_ev_per_atom=-5.076 n_ef_per_ev_atom=0.706 pbc="T T T"
Pr 2.103 10.646 3.554
Pr 2.103 4.218 3.554
Pr 2.103 -4.218 1.185
Pr 2.103 -10.646 1.185
Te 2.103 7.449 3.554
Te 2.103 -7.449 1.185
Au 2.103 1.003 3.554
Au 2.103 -1.003 1.185

(8)
10
Lattice="-5.020 5.020 3.200 5.020 -5.020 3.200 5.020 5.020 -3.200" Properties=species:S:1:pos:R:3 comment="GGA-PBE Pr5Te4Au, optimized geometry" mass_density_g_cm3=7.27 e_form_raw_ev_per_atom=-1.32 total_energy_ev_per_atom=-5.297 n_ef_per_ev_atom=0.518 pbc="T T T"
Pr 0.000 0.000 0.000
Pr 4.021 2.126 0.000
Pr 2.894 -0.999 3.200
Pr 2.126 6.019 0.000
Pr 0.999 2.894 3.200
Te 6.989 0.941 0.000
Te 0.941 3.051 0.000
Te 4.079 1.969 3.200
Te -1.969 4.079 3.200
Au 0.000 0.000 3.200

(9)
14
Lattice="7.579 0.000 0.000 0.000 6.324 0.000 -2.198 0.000 9.427" Properties=species:S:1:pos:R:3 comment="GGA-PBE Pr2Te4Au, optimized geometry" mass_density_g_cm3=7.27 e_form_raw_ev_per_atom=-1.00 total_energy_ev_per_atom=-4.626 n_ef_per_ev_atom=0.107 pbc="T T T"
Pr 0.656 1.581 3.621
Pr -0.287 1.581 8.865
Pr 5.668 4.743 0.562
Pr 4.725 4.743 5.807
Te -0.536 4.743 3.546
Te -1.292 4.743 8.513
Te 3.026 3.223 2.043
Te 3.026 6.264 2.043
Te 2.355 0.061 7.385
Te 2.355 3.102 7.385
Te 6.673 1.581 0.914
Te 5.918 1.581 5.881
Au 1.325 4.743 5.416
Au 4.056 1.581 4.011

(10)
16
Lattice="-4.256 4.256 6.649 4.256 -4.256 6.649 4.256 4.256 -6.649" Properties=species:S:1:pos:R:3 comment="GGA-PBE Pr5TeAu2, optimized geometry" mass_density_g_cm3=8.45 e_form_raw_ev_per_atom=-0.72 total_energy_ev_per_atom=-4.923 n_ef_per_ev_atom=1.183 pbc="T T T"
Pr 0.000 0.000 0.000
Pr 5.565 1.309 -1.906
Pr 1.309 2.948 -1.906
Pr 5.565 1.309 1.906
Pr 1.309 2.948 1.906
Pr 0.000 0.000 6.649
Pr 2.948 1.309 4.743
Pr -1.309 2.948 4.743
Pr 2.948 1.309 8.555
Pr -1.309 2.948 8.555
Te 0.000 0.000 3.325
Te 0.000 0.000 9.974
Au 3.089 1.167 0.000
Au 3.089 -1.167 6.649
Au 1.167 5.424 0.000
Au 1.167 3.089 6.649

(11)
14
Lattice="7.909 0.000 0.000 0.000 6.333 0.000 -2.488 0.000 8.609" Properties=species:S:1:pos:R:3 comment="GGA-PBE Pr2Te4Au, optimized geometry" mass_density_g_cm3=7.62 e_form_raw_ev_per_atom=-1.02 total_energy_ev_per_atom=-4.649 n_ef_per_ev_atom=0.088 pbc="T T T"
Pr 0.654 1.583 3.703
Pr -0.277 1.583 8.091
Pr 5.698 4.750 0.518
Pr 4.766 4.750 4.906
Te -0.321 4.750 3.111
Te -1.645 4.750 7.940
Te 3.193 3.207 2.182
Te 3.193 6.292 2.182
Te 2.228 0.040 6.426
Te 2.228 3.126 6.426
Te 7.066 1.583 0.669
Te 5.742 1.583 5.498
Au -0.057 4.750 5.777
Au 5.478 1.583 2.831

(12)
12
Lattice="11.343 -2.169 0.000 11.343 2.169 0.000 -1.221 0.000 7.761" Properties=species:S:1:pos:R:3 comment="GGA-PBE PrTe3Au2, optimized geometry" mass_density_g_cm3=7.98 e_form_raw_ev_per_atom=-0.58 total_energy_ev_per_atom=-4.042 n_ef_per_ev_atom=0.613 pbc="T T T"
Pr 3.363 0.000 0.228
Pr 18.101 0.000 7.533
Te 1.450 0.000 2.824
Te 4.770 0.000 6.054
Te 9.447 0.000 1.518
Te 12.017 0.000 6.243
Te 16.694 0.000 1.707
Te 20.014 0.000 4.937
Au 4.112 0.000 3.358
Au 9.111 0.000 6.624
Au 12.353 0.000 1.137
Au 17.352 0.000 4.403

(13)
24
Lattice="13.402 0.000 0.000 0.000 4.427 0.000 0.000 0.000 12.365" Properties=species:S:1:pos:R:3 comment="GGA-PBE Pr2Te3Au, optimized geometry" mass_density_g_cm3=7.80 e_form_raw_ev_per_atom=-1.16 total_energy_ev_per_atom=-4.873 n_ef_per_ev_atom=0.461 pbc="T T T"
Pr 0.343 1.107 2.253
Pr 2.870 1.107 5.847
Pr 3.831 3.320 12.029
Pr 6.358 3.320 8.435
Pr 7.044 1.107 3.930
Pr 9.571 1.107 0.336
Pr 10.532 3.320 6.519
Pr 13.059 3.320 10.112
Te 0.689 3.320 4.667
Te 1.532 1.107 11.582
Te 2.509 3.320 8.310
Te 4.192 1.107 2.127
Te 5.170 3.320 5.399
Te 6.012 1.107 10.850
Te 7.390 3.320 1.516
Te 8.233 1.107 6.966
Te 9.210 3.320 10.238
Te 10.893 1.107 4.055
Te 11.871 3.320 0.783
Te 12.713 1.107 7.698
Au 2.539 3.320 2.525
Au 4.162 1.107 8.707
Au 9.240 3.320 3.658
Au 10.864 1.107 9.840

(14)
10
Lattice="9.953 -2.228 0.000 9.953 2.228 0.000 -2.735 0.000 8.902" Properties=species:S:1:pos:R:3 comment="GGA-PBE Pr4Te5Au, optimized geometry" mass_density_g_cm3=5.88 e_form_raw_ev_per_atom=-1.14 total_energy_ev_per_atom=-4.954 n_ef_per_ev_atom=0.480 pbc="T T T"
Pr -0.660 0.000 2.328
Pr 4.003 0.000 7.988
Pr 13.169 0.000 0.914
Pr 17.832 0.000 6.574
Te 2.338 0.000 2.917
Te 0.919 0.000 7.538
Te 8.586 0.000 4.451
Te 16.253 0.000 1.364
Te 14.834 0.000 5.984
Au 9.953 0.000 0.000

(15)
10
Lattice="4.371 0.000 0.000 0.000 4.371 0.000 0.000 0.000 15.593" Properties=species:S:1:pos:R:3 comment="GGA-PBE PrThTe2Au, optimized geometry" mass_density_g_cm3=9.20 e_form_raw_ev_per_atom=-1.09 total_energy_ev_per_atom=-5.445 n_ef_per_ev_atom=0.387 pbc="T T T"
Pr 1.093 1.093 2.232
Pr 3.278 3.278 13.361
Th 1.093 1.093 9.075
Th 3.278 3.278 6.518
Te 1.093 1.093 5.789
Te 1.093 1.093 12.338
Te 3.278 3.278 3.255
Te 3.278 3.278 9.804
Au 1.093 3.278 0.000
Au 3.278 1.093 0.000

(16)
22
Lattice="2.007 -11.139 0.000 2.007 11.139 0.000 0.000 0.000 12.421" Properties=species:S:1:pos:R:3 comment="GGA-PBE PrTh3Au7, optimized geometry" mass_density_g_cm3=13.25 delta_e_f_ev_per_atom=-0.60 total_energy_ev_per_atom=-5.145 n_ef_per_ev_atom=0.682 pbc="T T T"
Pr 2.007 8.950 9.316
Pr 2.007 -8.950 3.105
Th 2.007 9.272 0.801
Th 2.007 9.272 5.410
Th 2.007 4.806 9.316
Th 2.007 -4.806 3.105
Th 2.007 -9.272 7.011
Th 2.007 -9.272 11.620
Au 2.007 6.308 0.868
Au 2.007 6.308 5.342
Au 2.007 3.516 1.087
Au 2.007 3.516 5.123
Au 2.007 1.756 9.316
Au 2.007 0.591 1.327
Au 2.007 0.591 4.884
Au 2.007 -0.591 7.537
Au 2.007 -0.591 11.094
Au 2.007 -1.756 3.105
Au 2.007 -3.516 7.298
Au 2.007 -3.516 11.333
Au 2.007 -6.308 7.078
Au 2.007 -6.308 11.553

(17)
9
Lattice="8.318 0.000 0.000 -4.159 7.203 0.000 0.000 0.000 3.500" Properties=species:S:1:pos:R:3 comment="GGA-PBE PrTh2Au6, optimized geometry" mass_density_g_cm3=14.15 delta_e_f_ev_per_atom=-0.72 total_energy_ev_per_atom=-5.085 n_ef_per_ev_atom=0.748 pbc="T T T"
Pr 0.000 0.000 0.000
Th 0.000 4.802 0.000
Th 4.159 2.401 0.000
Au -1.388 2.404 1.750
Au -2.771 4.799 1.750
Au 2.776 0.000 1.750
Au 1.388 2.404 1.750
Au 5.542 0.000 1.750
Au 2.771 4.799 1.750

(18)
4
Lattice="3.710 0.000 0.000 0.000 3.710 0.000 0.000 0.000 8.756" Properties=species:S:1:pos:R:3 comment="GGA-PBE PrTh2Au, optimized geometry" mass_density_g_cm3=11.05 delta_e_f_ev_per_atom=-0.23 total_energy_ev_per_atom=-5.953 n_ef_per_ev_atom=0.978 pbc="T T T"
Pr 0.000 0.000 0.000
Th 1.855 1.855 2.529
Th 1.855 1.855 6.228
Au 0.000 0.000 4.378

(19)
4
Lattice="1.858 1.073 10.385 -1.858 1.073 10.385 0.000 -2.146 10.385" Properties=species:S:1:pos:R:3 comment="GGA-PBE PrTh2Au, optimized geometry" mass_density_g_cm3=10.72 delta_e_f_ev_per_atom=-0.15 total_energy_ev_per_atom=-5.876 n_ef_per_ev_atom=1.115 pbc="T T T"
Pr 0.000 0.000 0.000
Th 0.000 0.000 7.443
Th 0.000 0.000 23.711
Au 0.000 0.000 15.577

(20)
8
Lattice="3.696 0.000 0.000 0.000 5.308 0.000 0.000 0.000 10.630" Properties=species:S:1:pos:R:3 comment="GGA-PBE Pr3ThAu4, optimized geometry" mass_density_g_cm3=11.49 delta_e_f_ev_per_atom=-0.69 total_energy_ev_per_atom=-5.053 n_ef_per_ev_atom=0.938 pbc="T T T"
Pr 0.000 0.000 0.000
Pr 0.000 2.654 2.639
Pr 0.000 2.654 7.991
Th 0.000 0.000 5.315
Au 1.848 0.000 2.706
Au 1.848 0.000 7.924
Au 1.848 2.654 0.000
Au 1.848 2.654 5.315